[1]
# Mn3AlAg

A PBEsol-optimized structure of Mn3AlAg (SCAN, Alexandria via LeMat-Bulk).

Properties
calculated formation energy	0.797	eV/atom
DFT total energy	-89.9	eV/f.u.

Cell lengths 4.756, 4.756, 4.756 Å; angles 90.00, 90.00, 90.00 degrees
Atoms (fractional coordinates):
Ag  0.000  0.000  0.000
Mn  0.000  0.500  0.000
Mn  0.000  0.000  0.500
Al  0.500  0.500  0.500
Mn  0.500  0.000  0.000

---

[2]
# AlAg4Mo

A PBEsol-optimized structure of AlAg4Mo (SCAN, Alexandria via LeMat-Bulk).

Properties
calculated formation energy	0.521	eV/atom
DFT total energy	-165.0	eV/f.u.

Cell lengths 5.277, 5.277, 5.277 Å; angles 60.00, 60.00, 60.00 degrees
Atoms (fractional coordinates):
Ag  0.375  0.375  0.875
Ag  0.875  0.375  0.375
Al  0.750  0.750  0.750
Ag  0.375  0.875  0.375
Mo  0.000  0.000  0.000
Ag  0.375  0.375  0.375

---

[3]
# AlAg3N

A PBEsol-optimized structure of AlAg3N (SCAN, Alexandria via LeMat-Bulk).

Properties
DFT total energy	-103.8	eV/f.u.
uncorrected formation energy	1.461	eV/atom

Cell lengths 4.813, 4.813, 4.813 Å; angles 90.00, 90.00, 90.00 degrees
Atoms (fractional coordinates):
Ag  0.500  0.000  0.000
Al  0.000  0.000  0.000
Ag  0.000  0.500  0.000
N  0.500  0.500  0.500
Ag  0.000  0.000  0.500

---

[4]
# NbAl3Ag

A PBEsol-optimized structure of NbAl3Ag (SCAN, Alexandria via LeMat-Bulk).

Properties
calculated formation energy	0.940	eV/atom
DFT total energy	-83.1	eV/f.u.

Cell lengths 4.930, 4.930, 4.930 Å; angles 90.00, 90.00, 90.00 degrees
Atoms (fractional coordinates):
Al  0.000  0.000  0.500
Al  0.500  0.000  0.000
Nb  0.000  0.000  0.000
Al  0.000  0.500  0.000
Ag  0.500  0.500  0.500